Entry 1:
Entry from Alexandria: crystalline KGa3Tc at its relaxed geometry (GGA-PBE).

Computed properties:
E_form ... -0.072 eV per atom
Mass density ... 5.0 Mg/m³
SG ... Cmmm (65)
Total moment ... 0.00 μB/cell
Distance to the lowest polymorph of the same formula ... 105 meV per atom

Structure (POSCAR):
```
KGa3Tc
1.0
4.950 0.000 0.000
0.000 6.602 0.001
-0.001 3.302 6.997
K Tc Ga
2 2 6
Direct
0.328 0.379 0.781
0.328 0.102 0.335
0.828 0.859 0.820
0.828 0.622 0.296
0.828 0.456 0.058
0.328 0.864 0.811
0.828 0.025 0.058
0.828 0.241 0.558
0.328 0.617 0.305
0.828 0.741 0.558
```

=====

Entry 2:
Entry from Alexandria: crystalline CaTc3W at its relaxed geometry (GGA-PBE).

Computed properties:
E_form ... 1.189 eV per atom
Mass density ... 7.8 Mg/m³
SG ... Pm-3m (221)
Total moment ... 2.39 μB/cell
Distance to the lowest polymorph of the same formula ... 0 meV per atom

Structure (POSCAR):
```
CaTc3W
1.0
4.791 0.000 0.000
0.000 4.791 0.000
0.000 0.000 4.791
Ca Tc W
1 3 1
Direct
0.500 0.500 0.500
0.000 0.500 0.000
0.000 0.000 0.500
0.500 0.000 0.000
0.000 0.000 0.000
```

=====

Entry 3:
Entry from Alexandria: crystalline FeCo2Os at its relaxed geometry (GGA-PBE).

Computed properties:
E_form ... 0.115 eV per atom
Mass density ... 12.8 Mg/m³
SG ... Cmmm (65)
Total moment ... 3.80 μB/cell
Distance to the lowest polymorph of the same formula ... 22 meV per atom

Structure (POSCAR):
```
FeCo2Os
1.0
-2.445 -0.098 -3.649
3.201 -2.989 -0.360
-1.537 -1.777 1.077
Co Fe Os
2 1 1
Direct
0.000 0.000 0.000
0.500 0.500 0.000
0.500 0.000 0.500
0.000 0.500 0.500
```

=====

Entry 4:
Entry from Alexandria: crystalline YTeSe at its relaxed geometry (GGA-PBE).

Computed properties:
Formation energy from raw total energies ... -1.176 eV/atom
Mass density ... 5.0 Mg/m³
SG ... P3m1 (156)
Total moment ... 0.00 μB/cell
Distance to the lowest polymorph of the same formula ... 239 meV per atom

Structure (POSCAR):
```
YTeSe
1.0
4.009 0.000 0.000
-2.005 3.472 0.000
0.000 0.000 7.116
Se Te Y
1 1 1
Direct
0.000 0.000 0.912
0.667 0.333 0.389
0.333 0.667 0.699
```

=====

Entry 5:
Entry from Alexandria: crystalline NiTeCl2 at its relaxed geometry (GGA-PBE).

Computed properties:
Formation energy from raw total energies ... -0.290 eV/atom
Mass density ... 3.7 Mg/m³
SG ... R-3m (166)
Total moment ... 2.32 μB/cell
Distance to the lowest polymorph of the same formula ... 109 meV per atom

Structure (POSCAR):
```
NiTeCl2
1.0
-2.879 -10.740 4.272
-0.331 -11.682 2.303
0.270 -10.603 5.422
Ni Te Cl
1 1 2
Direct
0.250 0.250 0.250
0.750 0.750 0.750
0.955 0.955 0.955
0.545 0.545 0.545
```

=====

Entry 6:
Entry from Alexandria: crystalline CuGe2Pd8 at its relaxed geometry (GGA-PBE).

Computed properties:
E_form ... -0.322 eV per atom
Mass density ... 10.4 Mg/m³
SG ... Immm (71)
Total moment ... 0.00 μB/cell
Distance to the lowest polymorph of the same formula ... 0 meV per atom

Structure (POSCAR):
```
CuGe2Pd8
1.0
3.910 0.000 -1.190
-1.049 6.070 -3.447
0.033 -0.050 7.128
Ge Pd Cu
2 8 1
Direct
0.190 0.690 0.381
0.810 0.310 0.619
0.661 0.884 0.323
0.339 0.562 0.677
0.142 0.142 0.285
0.000 0.306 0.000
0.858 0.858 0.715
0.661 0.438 0.323
0.339 0.116 0.677
0.000 0.694 0.000
0.500 0.000 0.000
```

=====

Entry 7:
Entry from Alexandria: crystalline Tb6Er4Tl at its relaxed geometry (GGA-PBE).

Computed properties:
E_form ... 0.116 eV per atom
Mass density ... 8.6 Mg/m³
SG ... P-6m2 (187)
Total moment ... 0.00 μB/cell

Structure (POSCAR):
```
Tb6Er4Tl
1.0
-1.461 -1.347 2.819
8.524 -6.625 1.250
0.004 9.804 4.688
Tb Er Tl
6 4 1
Direct
0.500 0.631 0.815
0.500 0.185 0.369
0.000 0.520 0.041
0.000 0.520 0.480
0.000 0.959 0.480
0.500 0.185 0.815
0.500 0.303 0.152
0.500 0.848 0.152
0.000 0.333 0.667
0.500 0.848 0.697
0.000 0.000 0.000
```

=====

Entry 8:
Entry from Alexandria: crystalline Ce2MgZn2Ni5 at its relaxed geometry (GGA-PBE).

Computed properties:
E_form ... -0.164 eV per atom
Mass density ... 7.5 Mg/m³
SG ... P4/mbm (127)
Total moment ... 1.41 μB/cell

Structure (POSCAR):
```
Ce2MgZn2Ni5
1.0
-0.749 -2.579 -2.350
-3.937 -5.199 6.960
-8.454 4.054 -1.754
Ce Mg Zn Ni
4 2 4 10
Direct
0.000 0.681 0.181
0.000 0.319 0.819
0.000 0.181 0.319
0.000 0.819 0.681
0.000 0.000 0.000
0.000 0.500 0.500
0.000 0.116 0.616
0.000 0.884 0.384
0.000 0.616 0.884
0.000 0.384 0.116
0.500 0.215 0.061
0.500 0.785 0.939
0.500 0.061 0.785
0.500 0.715 0.439
0.500 0.939 0.215
0.500 0.285 0.561
0.500 0.561 0.715
0.500 0.439 0.285
0.500 0.500 0.000
0.500 0.000 0.500
```

=====

Entry 9:
Entry from Alexandria: crystalline Na2YIn2 at its relaxed geometry (GGA-PBE).

Computed properties:
E_form ... -0.106 eV per atom
Mass density ... 4.3 Mg/m³
SG ... I4/mmm (139)
Total moment ... 0.00 μB/cell
Distance to the lowest polymorph of the same formula ... 0 meV per atom

Structure (POSCAR):
```
Na2YIn2
1.0
-1.103 3.968 -1.189
-3.764 -0.447 2.001
0.641 4.532 6.806
Y Na In
1 2 2
Direct
0.000 0.000 0.000
0.750 0.250 0.500
0.250 0.750 0.500
0.404 0.404 0.191
0.596 0.596 0.809
```

=====

Entry 10:
Entry from Alexandria: crystalline Cd2TcTe at its relaxed geometry (GGA-PBE).

Computed properties:
Formation energy from raw total energies ... 0.211 eV/atom
Mass density ... 7.7 Mg/m³
SG ... Imm2 (44)
Total moment ... 0.96 μB/cell

Structure (POSCAR):
```
Cd2TcTe
1.0
7.049 -0.044 0.014
4.775 5.186 -0.014
-5.486 -3.549 2.644
Cd Tc Te
2 1 1
Direct
0.016 0.016 0.000
0.672 0.172 0.500
0.487 0.487 0.000
0.326 0.826 0.500
```

=====

Entry 11:
Entry from Alexandria: crystalline Ag5Cl2F5 at its relaxed geometry (GGA-PBE).

Computed properties:
Formation energy from raw total energies ... -0.888 eV/atom
Mass density ... 5.4 Mg/m³
SG ... P-1 (2)
Total moment ... 0.00 μB/cell

Structure (POSCAR):
```
Ag5Cl2F5
1.0
0.074 0.529 3.602
5.387 -2.250 0.810
6.961 8.306 1.150
Ag Cl F
5 2 5
Direct
0.873 0.799 0.432
0.388 0.602 0.825
0.612 0.398 0.175
0.127 0.201 0.568
0.000 0.000 0.000
0.992 0.298 0.781
0.008 0.702 0.219
0.500 0.500 0.500
0.250 0.260 0.066
0.275 0.097 0.379
0.725 0.903 0.621
0.750 0.740 0.934
```

=====

Entry 12:
Entry from Alexandria: crystalline Tb5Co2Si at its relaxed geometry (GGA-PBE).

Computed properties:
Formation energy from raw total energies ... -0.309 eV/atom
Mass density ... 8.5 Mg/m³
SG ... I4/mcm (140)
Total moment ... 0.01 μB/cell

Structure (POSCAR):
```
Tb5Co2Si
1.0
6.758 0.000 -3.190
-1.506 6.588 -3.190
-0.153 -0.191 8.429
Tb Co Si
10 4 2
Direct
0.527 0.692 0.719
0.808 0.973 0.281
0.000 0.000 0.000
0.500 0.500 0.000
0.192 0.027 0.719
0.692 0.192 0.719
0.027 0.527 0.719
0.308 0.808 0.281
0.973 0.473 0.281
0.473 0.308 0.281
0.118 0.382 0.000
0.618 0.118 0.000
0.382 0.882 0.000
0.882 0.618 0.000
0.750 0.750 0.500
0.250 0.250 0.500
```